DyYB2As2Ir2 | PBE | relaxed

abc: 3.9679 3.9679 8.6549
angles: 90.00 90.00 90.00
Space group P4mm (No. 99)
One atom of each set of equivalent atoms:
1 Dy 0.0000 0.0000 0.0000 (multiplicity 1)
2 Y 0.5000 0.5000 0.5799 (multiplicity 1)
3 B 0.0000 0.0000 0.3955 (multiplicity 1)
4 B 0.5000 0.5000 0.1824 (multiplicity 1)
5 As 0.0000 0.0000 0.6449 (multiplicity 1)
6 As 0.5000 0.5000 0.9334 (multiplicity 1)
7 Ir 0.0000 0.5000 0.2890 (multiplicity 2)

Output
- volume (Å³ per cell) = 136.27
- electronic total energy (eV for the cell shown) = -58.388

LiHfCu3Se4 | PBE | relaxed

abc: 5.8060 5.8060 5.8060
angles: 90.00 90.00 90.00
Space group P-43m (No. 215)
One atom of each set of equivalent atoms:
1 Li 0.0000 0.0000 0.0000 (multiplicity 1)
2 Hf 0.5000 0.5000 0.5000 (multiplicity 1)
3 Cu 0.0000 0.5000 0.5000 (multiplicity 3)
4 Se 0.2503 0.2503 0.2503 (multiplicity 4)

Output
- volume (Å³ per cell) = 195.72
- electronic total energy (eV for the cell shown) = -43.532

Li4GaBiPd2 | PBE | relaxed

abc: 4.4187 4.4187 6.4415
angles: 90.00 90.00 90.00
Space group P-4m2 (No. 115)
One atom of each set of equivalent atoms:
1 Li 0.0000 0.0000 0.0000 (multiplicity 1)
2 Li 0.0000 0.5000 0.2231 (multiplicity 2)
3 Li 0.5000 0.5000 0.5000 (multiplicity 1)
4 Ga 0.5000 0.5000 0.0000 (multiplicity 1)
5 Bi 0.0000 0.0000 0.5000 (multiplicity 1)
6 Pd 0.0000 0.5000 0.7804 (multiplicity 2)

Output
- volume (Å³ per cell) = 125.77
- electronic total energy (eV for the cell shown) = -29.295

ZrAg2Te3 | PBE | relaxed

abc: 21.1030 4.2531 7.5414
angles: 90.00 93.32 90.00
Space group C2/m (No. 12)
One atom of each set of equivalent atoms:
1 Zr 0.1457 0.0000 0.0612 (multiplicity 4)
2 Ag 0.0414 0.5000 0.1588 (multiplicity 4)
3 Ag 0.2080 0.0000 0.4458 (multiplicity 4)
4 Te 0.0783 0.0000 0.3742 (multiplicity 4)
5 Te 0.0958 0.5000 0.8276 (multiplicity 4)
6 Te 0.2427 0.5000 0.1948 (multiplicity 4)

Output
- volume (Å³ per cell) = 675.74
- electronic total energy (eV for the cell shown) = -106.176